No. 1
A plane-wave DFT calculation with meta-GGA SCAN was carried out for a crystal of MgTc3Hg relaxed with PBEsol.

The space group is Pm-3m (No. 221) and the conventional cell measures 4.961, 4.961 and 4.961 Å, with angles of 90.00, 90.00 and 90.00 degrees. The asymmetric unit holds Mg at (0.000, 0.000, 0.000), Tc at (0.000, 0.500, 0.500) and Hg at (0.500, 0.500, 0.500).

***

No. 2
A plane-wave DFT calculation with meta-GGA SCAN was carried out for a crystal of Cs2BeTc relaxed with PBEsol.

The space group is Fm-3m (No. 225) and the conventional cell measures 8.195, 8.195 and 8.195 Å, with angles of 90.00, 90.00 and 90.00 degrees. The asymmetric unit holds Cs at (0.250, 0.250, 0.250), Be at (0.000, 0.000, 0.000) and Tc at (0.000, 0.000, 0.500).

***

The following formation energy from the elements values (in eV per atom) correspond, in order, to the records above: 2.20, 1.75.